The following is a PBE-GGA calculation of an optimized crystal structure of HgS2I, from Alexandria via LeMat-Bulk.

Output
Density ... 5.72 Mg/m³
Magnetization ... 0.0 μB/cell
N(E_F) ... 7.70 states/eV per cell
Raw formation energy ... 184 meV/atom

Cell: 4.0746 4.0746 23.7218 Å, 90.00 90.00 120.00°
Space group R-3m (No. 166, hexagonal axes)
Unique sites:
Hg: 0.0000 0.0000 0.0000 x3
S: 0.0000 0.0000 0.3912 x6
I: 0.0000 0.0000 0.5000 x3